1.
Material: Sr2SiSbAu6
Method: DFT, PBE-GGA
State: relaxed

```
data_Sr2SiSbAu6
_chemical_formula_sum 'Sr4 Si2 Sb2 Au12'
_cell_length_a 7.174
_cell_length_b 9.261
_cell_length_c 7.333
_cell_angle_alpha 90.00
_cell_angle_beta 90.00
_cell_angle_gamma 90.00
_space_group_name_H-M_alt 'P m m n'
_space_group_IT_number 59
loop_
_space_group_symop_operation_xyz
'x,y,z'
'-x,-y,-z'
'-x+1/2,-y+1/2,z'
'x+1/2,y+1/2,-z'
'x+1/2,-y,-z'
'-x+1/2,y,z'
'-x,y+1/2,-z'
'x,-y+1/2,z'
loop_
_atom_site_label
_atom_site_type_symbol
_atom_site_fract_x
_atom_site_fract_y
_atom_site_fract_z
_atom_site_occupancy
Sr1 Sr 0.250 0.020 0.238 1
Si1 Si 0.250 0.250 0.583 1
Sb1 Sb 0.250 0.750 0.903 1
Au1 Au 0.052 0.250 0.885 1
Au2 Au 0.060 0.750 0.532 1
Au3 Au 0.250 0.003 0.715 1
```

Values from the calculation:
**Formation energy without anion corrections**: -4.953 eV per formula unit

***

2.
Material: Sr3Si2SbAu9
Method: DFT, PBE-GGA
State: relaxed

```
data_Sr3Si2SbAu9
_chemical_formula_sum 'Sr3 Si2 Sb1 Au9'
_cell_length_a 7.3263
_cell_length_b 7.3263
_cell_length_c 8.1556
_cell_angle_alpha 90.00
_cell_angle_beta 90.00
_cell_angle_gamma 120.00
_space_group_name_H-M_alt 'P -3 m 1'
_space_group_IT_number 164
_space_group_name_Hall '-P 3 2"'
loop_
_atom_site_label
_atom_site_type_symbol
_atom_site_fract_x
_atom_site_fract_y
_atom_site_fract_z
_atom_site_occupancy
Sr1 Sr 0.0000 0.0000 0.0000 1
Sr2 Sr 0.3333 0.6667 0.6731 1
Si1 Si 0.3333 0.6667 0.1434 1
Sb1 Sb 0.0000 0.0000 0.5000 1
Au1 Au 0.0000 0.5000 0.0000 1
Au2 Au 0.1827 0.3654 0.3280 1
```

Values from the calculation:
**Formation energy without anion corrections**: -6.013 eV per formula unit

***

3.
Material: SiTcSbAu2
Method: DFT, PBE-GGA
State: relaxed

```
data_SiTcSbAu2
_chemical_formula_sum 'Si1 Tc1 Sb1 Au2'
_cell_length_a 5.093
_cell_length_b 5.093
_cell_length_c 4.971
_cell_angle_alpha 90.00
_cell_angle_beta 90.00
_cell_angle_gamma 90.00
_space_group_name_H-M_alt 'P 4/m m m'
_space_group_IT_number 123
_space_group_name_Hall '-P 4 2'
loop_
_atom_site_label
_atom_site_type_symbol
_atom_site_fract_x
_atom_site_fract_y
_atom_site_fract_z
_atom_site_occupancy
Si1 Si 0.000 0.000 0.000 1
Tc1 Tc 0.500 0.500 0.500 1
Sb1 Sb 0.500 0.500 0.000 1
Au1 Au 0.000 0.500 0.500 1
```

Values from the calculation:
**Formation energy without anion corrections**: 5.472 eV per formula unit

***

4.
Material: Tl2SiSbAu6
Method: DFT, PBE-GGA
State: relaxed

```
data_Tl2SiSbAu6
_chemical_formula_sum 'Tl4 Si2 Sb2 Au12'
_cell_length_a 7.059
_cell_length_b 9.338
_cell_length_c 7.429
_cell_angle_alpha 90.00
_cell_angle_beta 90.00
_cell_angle_gamma 90.00
_space_group_name_H-M_alt 'P m m n'
_space_group_IT_number 59
loop_
_space_group_symop_operation_xyz
'x,y,z'
'-x,-y,-z'
'-x+1/2,-y+1/2,z'
'x+1/2,y+1/2,-z'
'x+1/2,-y,-z'
'-x+1/2,y,z'
'-x,y+1/2,-z'
'x,-y+1/2,z'
loop_
_atom_site_label
_atom_site_type_symbol
_atom_site_fract_x
_atom_site_fract_y
_atom_site_fract_z
_atom_site_occupancy
Tl1 Tl 0.250 0.015 0.244 1
Si1 Si 0.250 0.250 0.598 1
Sb1 Sb 0.250 0.750 0.898 1
Au1 Au 0.048 0.750 0.554 1
Au2 Au 0.052 0.250 0.892 1
Au3 Au 0.250 0.004 0.721 1
```

Values from the calculation:
**Formation energy without anion corrections**: -0.419 eV per formula unit

***

5.
Material: ZrSiSbAu2
Method: DFT, PBE-GGA
State: relaxed

```
data_ZrSiSbAu2
_chemical_formula_sum 'Zr1 Si1 Sb1 Au2'
_cell_length_a 5.020
_cell_length_b 5.020
_cell_length_c 5.522
_cell_angle_alpha 90.00
_cell_angle_beta 90.00
_cell_angle_gamma 90.00
_space_group_name_H-M_alt 'P 4/m m m'
_space_group_IT_number 123
_space_group_name_Hall '-P 4 2'
loop_
_atom_site_label
_atom_site_type_symbol
_atom_site_fract_x
_atom_site_fract_y
_atom_site_fract_z
_atom_site_occupancy
Zr1 Zr 0.000 0.000 0.000 1
Si1 Si 0.500 0.500 0.000 1
Sb1 Sb 0.000 0.000 0.500 1
Au1 Au 0.000 0.500 0.500 1
```

Values from the calculation:
**Formation energy without anion corrections**: 4.079 eV per formula unit

***

6.
Material: Sm5SbAu2
Method: DFT, PBE-GGA
State: relaxed

```
data_Sm5SbAu2
_chemical_formula_sum 'Sm20 Sb4 Au8'
_cell_length_a 8.264
_cell_length_b 8.264
_cell_length_c 13.287
_cell_angle_alpha 90.00
_cell_angle_beta 90.00
_cell_angle_gamma 90.00
_space_group_name_H-M_alt 'I 4/m c m'
_space_group_IT_number 140
_space_group_name_Hall '-I 4 2c'
loop_
_atom_site_label
_atom_site_type_symbol
_atom_site_fract_x
_atom_site_fract_y
_atom_site_fract_z
_atom_site_occupancy
Sm1 Sm 0.000 0.000 0.000 1
Sm2 Sm 0.156 0.344 0.144 1
Sb1 Sb 0.000 0.000 0.250 1
Au1 Au 0.136 0.364 0.500 1
```

Values from the calculation:
**Formation energy without anion corrections**: -5.767 eV per formula unit

***

7.
Material: SmSbAu4
Method: DFT, PBE-GGA
State: relaxed

```
data_SmSbAu4
_chemical_formula_sum 'Sm4 Sb4 Au16'
_cell_length_a 8.039
_cell_length_b 8.039
_cell_length_c 8.039
_cell_angle_alpha 90.00
_cell_angle_beta 90.00
_cell_angle_gamma 90.00
_space_group_name_H-M_alt 'F -4 3 m'
_space_group_IT_number 216
_space_group_name_Hall 'F -4 2 3'
loop_
_atom_site_label
_atom_site_type_symbol
_atom_site_fract_x
_atom_site_fract_y
_atom_site_fract_z
_atom_site_occupancy
Sm1 Sm 0.000 0.000 0.000 1
Sb1 Sb 0.250 0.250 0.250 1
Au1 Au 0.125 0.125 0.625 1
```

Values from the calculation:
**Formation energy without anion corrections**: -2.490 eV per formula unit

***

8.
Material: Sm3Sb4Au3
Method: DFT, PBE-GGA
State: relaxed

```
data_Sm3Sb4Au3
_chemical_formula_sum 'Sm12 Sb16 Au12'
_cell_length_a 10.053
_cell_length_b 10.053
_cell_length_c 10.053
_cell_angle_alpha 90.00
_cell_angle_beta 90.00
_cell_angle_gamma 90.00
_space_group_name_H-M_alt 'I -4 3 d'
_space_group_IT_number 220
_space_group_name_Hall 'I -4bd 2c 3'
loop_
_atom_site_label
_atom_site_type_symbol
_atom_site_fract_x
_atom_site_fract_y
_atom_site_fract_z
_atom_site_occupancy
Sm1 Sm 0.000 0.250 0.375 1
Sb1 Sb 0.088 0.088 0.088 1
Au1 Au 0.000 0.250 0.875 1
```

Values from the calculation:
**Formation energy without anion corrections**: -8.621 eV per formula unit

***

9.
Material: SmSbAu
Method: DFT, PBE-GGA
State: relaxed

```
data_SmSbAu
_chemical_formula_sum 'Sm2 Sb2 Au2'
_cell_length_a 4.6093
_cell_length_b 4.6093
_cell_length_c 8.8914
_cell_angle_alpha 90.00
_cell_angle_beta 90.00
_cell_angle_gamma 120.00
_space_group_name_H-M_alt 'P 63 m c'
_space_group_IT_number 186
_space_group_name_Hall 'P 6c -2c'
loop_
_atom_site_label
_atom_site_type_symbol
_atom_site_fract_x
_atom_site_fract_y
_atom_site_fract_z
_atom_site_occupancy
Sm1 Sm 0.3333 0.6667 0.0000 1
Sb1 Sb 0.0000 0.0000 0.2362 1
Au1 Au 0.3333 0.6667 0.3495 1
```

Values from the calculation:
**Formation energy without anion corrections**: -2.312 eV per formula unit

***

10.
Material: SmSbAu
Method: DFT, PBE-GGA
State: relaxed

```
data_SmSbAu
_chemical_formula_sum 'Sm4 Sb4 Au4'
_cell_length_a 4.599
_cell_length_b 8.317
_cell_length_c 8.029
_cell_angle_alpha 90.00
_cell_angle_beta 90.00
_cell_angle_gamma 90.00
_space_group_name_H-M_alt 'I m m 2'
_space_group_IT_number 44
loop_
_space_group_symop_operation_xyz
'x,y,z'
'-x,-y,z'
'-x,y,z'
'x,-y,z'
'x+1/2,y+1/2,z+1/2'
'-x+1/2,-y+1/2,z+1/2'
'-x+1/2,y+1/2,z+1/2'
'x+1/2,-y+1/2,z+1/2'
loop_
_atom_site_label
_atom_site_type_symbol
_atom_site_fract_x
_atom_site_fract_y
_atom_site_fract_z
_atom_site_occupancy
Sm1 Sm 0.000 0.000 0.000 1
Sm2 Sm 0.000 0.500 0.041 1
Sb1 Sb 0.000 0.249 0.362 1
Au1 Au 0.000 0.319 0.696 1
```

Values from the calculation:
**Formation energy without anion corrections**: -2.446 eV per formula unit

***

11.
Material: SmSb3Au3
Method: DFT, PBE-GGA
State: relaxed

```
data_SmSb3Au3
_chemical_formula_sum 'Sm2 Sb6 Au6'
_cell_length_a 7.537
_cell_length_b 7.537
_cell_length_c 7.537
_cell_angle_alpha 90.00
_cell_angle_beta 90.00
_cell_angle_gamma 90.00
_space_group_name_H-M_alt 'P m -3 n'
_space_group_IT_number 223
_space_group_name_Hall '-P 4n 2 3'
loop_
_atom_site_label
_atom_site_type_symbol
_atom_site_fract_x
_atom_site_fract_y
_atom_site_fract_z
_atom_site_occupancy
Sm1 Sm 0.000 0.000 0.000 1
Sb1 Sb 0.000 0.250 0.500 1
Au1 Au 0.000 0.500 0.250 1
```

Values from the calculation:
**Formation energy without anion corrections**: 0.477 eV per formula unit

***

12.
Material: Sm2SbAu
Method: DFT, PBE-GGA
State: relaxed

```
data_Sm2SbAu
_chemical_formula_sum 'Sm8 Sb4 Au4'
_cell_length_a 4.181
_cell_length_b 24.005
_cell_length_c 4.599
_cell_angle_alpha 90.00
_cell_angle_beta 90.00
_cell_angle_gamma 90.00
_space_group_name_H-M_alt 'C m c m'
_space_group_IT_number 63
_space_group_name_Hall '-C 2c 2'
loop_
_atom_site_label
_atom_site_type_symbol
_atom_site_fract_x
_atom_site_fract_y
_atom_site_fract_z
_atom_site_occupancy
Sm1 Sm 0.000 0.061 0.250 1
Sm2 Sm 0.000 0.320 0.250 1
Sb1 Sb 0.000 0.189 0.250 1
Au1 Au 0.000 0.459 0.250 1
```

Values from the calculation:
**Formation energy without anion corrections**: -3.654 eV per formula unit

***

13.
Material: SmSbAu
Method: DFT, PBE-GGA
State: relaxed

```
data_SmSbAu
_chemical_formula_sum 'Sm1 Sb1 Au1'
_cell_length_a 4.5707
_cell_length_b 4.5707
_cell_length_c 4.2803
_cell_angle_alpha 90.00
_cell_angle_beta 90.00
_cell_angle_gamma 120.00
_space_group_name_H-M_alt 'P 3 m 1'
_space_group_IT_number 156
loop_
_space_group_symop_operation_xyz
'x,y,z'
'-y,x-y,z'
'-x+y,-x,z'
'-y,-x,z'
'-x+y,y,z'
'x,x-y,z'
loop_
_atom_site_label
_atom_site_type_symbol
_atom_site_fract_x
_atom_site_fract_y
_atom_site_fract_z
_atom_site_occupancy
Sm1 Sm 0.0000 0.0000 0.0000 1
Sb1 Sb 0.6667 0.3333 0.5452 1
Au1 Au 0.3333 0.6667 0.3738 1
```

Values from the calculation:
**Formation energy without anion corrections**: -2.474 eV per formula unit

***

14.
Material: SmSb3Au
Method: DFT, PBE-GGA
State: relaxed

```
data_SmSb3Au
_chemical_formula_sum 'Sm4 Sb12 Au4'
_cell_length_a 13.171
_cell_length_b 6.297
_cell_length_c 6.319
_cell_angle_alpha 90.00
_cell_angle_beta 90.00
_cell_angle_gamma 90.00
_space_group_name_H-M_alt 'P b c m'
_space_group_IT_number 57
loop_
_space_group_symop_operation_xyz
'x,y,z'
'-x,-y,-z'
'-x,-y,z+1/2'
'x,y,-z+1/2'
'x,-y+1/2,-z'
'-x,y+1/2,z'
'-x,y+1/2,-z+1/2'
'x,-y+1/2,z+1/2'
loop_
_atom_site_label
_atom_site_type_symbol
_atom_site_fract_x
_atom_site_fract_y
_atom_site_fract_z
_atom_site_occupancy
Sm1 Sm 0.185 0.010 0.250 1
Sb1 Sb 0.001 0.250 0.000 1
Sb2 Sb 0.249 0.518 0.250 1
Sb3 Sb 0.439 0.666 0.750 1
Au1 Au 0.379 0.250 0.000 1
```

Values from the calculation:
**Formation energy without anion corrections**: -2.220 eV per formula unit

***

15.
Material: Sm3SbAu
Method: DFT, PBE-GGA
State: relaxed

```
data_Sm3SbAu
_chemical_formula_sum 'Sm6 Sb2 Au2'
_cell_length_a 9.105
_cell_length_b 4.132
_cell_length_c 9.610
_cell_angle_alpha 90.00
_cell_angle_beta 116.19
_cell_angle_gamma 90.00
_space_group_name_H-M_alt 'P 1 21/m 1'
_space_group_IT_number 11
loop_
_space_group_symop_operation_xyz
'x,y,z'
'-x,-y,-z'
'-x,y+1/2,-z'
'x,-y+1/2,z'
loop_
_atom_site_label
_atom_site_type_symbol
_atom_site_fract_x
_atom_site_fract_y
_atom_site_fract_z
_atom_site_occupancy
Sm1 Sm 0.056 0.250 0.342 1
Sm2 Sm 0.173 0.250 0.017 1
Sm3 Sm 0.430 0.750 0.623 1
Sb1 Sb 0.225 0.250 0.712 1
Au1 Au 0.273 0.750 0.272 1
```

Values from the calculation:
**Formation energy without anion corrections**: -3.259 eV per formula unit

***

16.
Material: Sm4SbAu
Method: DFT, PBE-GGA
State: relaxed

```
data_Sm4SbAu
_chemical_formula_sum 'Sm8 Sb2 Au2'
_cell_length_a 6.220
_cell_length_b 7.564
_cell_length_c 8.784
_cell_angle_alpha 102.97
_cell_angle_beta 110.71
_cell_angle_gamma 90.05
_space_group_name_H-M_alt 'P -1'
_space_group_IT_number 2
loop_
_space_group_symop_operation_xyz
'x,y,z'
'-x,-y,-z'
loop_
_atom_site_label
_atom_site_type_symbol
_atom_site_fract_x
_atom_site_fract_y
_atom_site_fract_z
_atom_site_occupancy
Sm1 Sm 0.040 0.053 0.348 1
Sm2 Sm 0.191 0.447 0.652 1
Sm3 Sm 0.230 0.376 0.179 1
Sm4 Sm 0.450 0.876 0.179 1
Sb1 Sb 0.374 0.750 0.500 1
Au1 Au 0.000 0.000 0.000 1
Au2 Au 0.500 0.500 0.000 1
```

Values from the calculation:
**Formation energy without anion corrections**: -2.834 eV per formula unit

***

17.
Material: SmSbAu
Method: DFT, PBE-GGA
State: relaxed

```
data_SmSbAu
_chemical_formula_sum 'Sm2 Sb2 Au2'
_cell_length_a 4.153
_cell_length_b 4.153
_cell_length_c 9.076
_cell_angle_alpha 90.00
_cell_angle_beta 90.00
_cell_angle_gamma 90.00
_space_group_name_H-M_alt 'I 4 m m'
_space_group_IT_number 107
_space_group_name_Hall 'I 4 -2'
loop_
_atom_site_label
_atom_site_type_symbol
_atom_site_fract_x
_atom_site_fract_y
_atom_site_fract_z
_atom_site_occupancy
Sm1 Sm 0.000 0.000 0.000 1
Sb1 Sb 0.000 0.000 0.349 1
Au1 Au 0.000 0.000 0.666 1
```

Values from the calculation:
**Formation energy without anion corrections**: -1.854 eV per formula unit

***

18.
Material: Sm12Sb3Au5
Method: DFT, PBE-GGA
State: relaxed

```
data_Sm12Sb3Au5
_chemical_formula_sum 'Sm96 Sb24 Au40'
_cell_length_a 17.662
_cell_length_b 17.662
_cell_length_c 17.662
_cell_angle_alpha 90.00
_cell_angle_beta 90.00
_cell_angle_gamma 90.00
_space_group_name_H-M_alt 'I a -3 d'
_space_group_IT_number 230
_space_group_name_Hall '-I 4bd 2c 3'
loop_
_atom_site_label
_atom_site_type_symbol
_atom_site_fract_x
_atom_site_fract_y
_atom_site_fract_z
_atom_site_occupancy
Sm1 Sm 0.022 0.068 0.648 1
Sb1 Sb 0.000 0.250 0.125 1
Au1 Au 0.000 0.000 0.000 1
Au2 Au 0.000 0.250 0.375 1
```

Values from the calculation:
**Formation energy without anion corrections**: -7.830 eV per formula unit